## Sr2ScRe3O12 (GGA-PBE)

Data for an optimized crystal structure of Sr2ScRe3O12.

It has space group R-3m (No. 166, hexagonal axes), with a = 7.3995 Å, b = 7.3995 Å, c = 18.0778 Å, α = 90.00°, β = 90.00° and γ = 120.00°. The asymmetric unit holds Sr at (0.0000, 0.0000, 0.1939), Sc at (0.0000, 0.0000, 0.5000), Re at (0.0000, 0.5000, 0.0000), O at (0.0486, 0.5243, 0.1050) and O at (0.0891, 0.5446, 0.3487).

The uncorrected formation energy comes out at -2.05 eV per atom. The calculated total energy is -7.97 eV/atom.